No. 1
Density functional theory data (PBE) for SmBe2Ir after structural relaxation.

The formation energy is -1.934 eV per formula unit. The calculation puts the energy above the most stable polymorph in this dataset at 0 meV per atom. The value obtained for the total energy is -5.742 eV/atom.

Unit cell a=3.9056 b=3.9056 c=5.4165 alpha=68.87 beta=68.87 gamma=60.00
With the nearest neighbours (Å) after each atom.
Atoms (fractional coordinates):
Be  0.8055  0.8055  0.5836  3 Ir 2.29, 3 Be 2.40
Be  0.1945  0.1945  0.4164  3 Ir 2.29, 3 Be 2.40
Ir  0.5000  0.5000  0.5000  6 Be 2.29
Sm  0.0000  0.0000  0.0000  8 Be 2.87-3.05



No. 2
Density functional theory data (PBE) for CdSiBiN2 after structural relaxation.

The value obtained for the total energy is -4.320 eV/atom. The value obtained for the raw formation energy is 1.054 eV/atom.

Unit cell a=3.8564 b=5.5174 c=3.8564 alpha=90.00 beta=90.00 gamma=90.00
With the nearest neighbours (Å) after each atom.
Atoms (fractional coordinates):
Si  0.0000  0.0000  0.0000  4 N 1.93
N  0.0000  0.0000  0.5000  2 Si 1.93
N  0.5000  0.0000  0.0000  2 Si 1.93
Bi  0.5000  0.5000  0.5000  4 Cd 2.73
Cd  0.0000  0.5000  0.0000  4 Bi 2.73, 2 Si 2.76



No. 3
Density functional theory data (PBE) for NaTcO3 after structural relaxation.

The value obtained for the total energy is -6.870 eV/atom. The value obtained for the raw formation energy is -1.559 eV/atom.

Unit cell a=5.4638 b=5.4638 c=5.4638 alpha=59.89 beta=59.89 gamma=59.89
With the nearest neighbours (Å) after each atom.
Atoms (fractional coordinates):
Na  0.0464  0.0464  0.0464  9 O 2.51-2.74
Na  0.5464  0.5464  0.5464  9 O 2.51-2.74
Tc  0.2963  0.2963  0.2963  6 O 1.94
Tc  0.7963  0.7963  0.7963  6 O 1.94
O  0.0856  0.0070  0.5463  2 Tc 1.94
O  0.5070  0.5856  0.0463  2 Tc 1.94
O  0.0463  0.5070  0.5856  2 Tc 1.94
O  0.5856  0.0463  0.5070  2 Tc 1.94
O  0.0070  0.5463  0.0856  2 Tc 1.94
O  0.5463  0.0856  0.0070  2 Tc 1.94



No. 4
Density functional theory data (PBE) for AcZnInPd3 after structural relaxation.

The formation energy is -2.822 eV per formula unit. The value obtained for the total energy is -4.420 eV/atom.

Unit cell a=5.9447 b=6.9949 c=7.3339 alpha=118.48 beta=90.00 gamma=90.00
With the nearest neighbours (Å) after each atom.
Atoms (fractional coordinates):
Ac  0.7500  0.3027  0.6054  2 Zn 3.10, 6 Pd 3.25-3.41, 1 In 3.33
Ac  0.2500  0.6973  0.3946  2 Zn 3.10, 6 Pd 3.25-3.41, 1 In 3.33
Zn  0.2500  0.3700  0.7400  5 Pd 2.55-2.62
Zn  0.7500  0.6300  0.2600  5 Pd 2.55-2.62
In  0.2500  0.9559  0.9117  5 Pd 2.66-2.79
In  0.7500  0.0441  0.0883  5 Pd 2.66-2.79
Pd  0.2500  0.1725  0.3449  1 Zn 2.55, 1 In 2.79
Pd  0.0000  0.3055  0.0000  2 Zn 2.62, 2 In 2.66, 1 Pd 2.72
Pd  0.5000  0.6945  0.0000  2 Zn 2.62, 2 In 2.66, 1 Pd 2.72
Pd  0.5000  0.3055  0.0000  2 Zn 2.62, 2 In 2.66, 1 Pd 2.72
Pd  0.0000  0.6945  0.0000  2 Zn 2.62, 2 In 2.66, 1 Pd 2.72
Pd  0.7500  0.8275  0.6551  1 Zn 2.55, 1 In 2.79



No. 5
Density functional theory data (PBE) for As2S2F after structural relaxation.

The calculation puts the energy above the most stable polymorph in this dataset at 0 meV per atom. The value obtained for the total energy is -4.196 eV/atom. The value obtained for the raw formation energy is -0.311 eV/atom.

Unit cell a=4.9967 b=4.9967 c=5.0849 alpha=60.57 beta=60.57 gamma=90.00
With the nearest neighbours (Å) after each atom.
Atoms (fractional coordinates):
As  0.3016  0.3016  0.3969  1 F 2.21
As  0.6984  0.6984  0.6031  1 F 2.21
S  0.7500  0.2500  0.5000  4 As 2.53
S  0.2500  0.7500  0.5000  4 As 2.53
F  0.0000  0.0000  0.0000  2 As 2.21



No. 6
Density functional theory data (PBE) for Ti6NbIn2 after structural relaxation.

The formation energy is 0.711 eV per formula unit. The calculation puts the energy above the most stable polymorph in this dataset at 40 meV per atom. The value obtained for the total energy is -6.912 eV/atom.

Unit cell a=4.8744 b=5.6602 c=7.0698 alpha=113.60 beta=108.57 gamma=90.00
With the nearest neighbours (Å) after each atom.
Atoms (fractional coordinates):
Ti  0.6211  0.8774  0.2165  3 Ti 2.61-2.68, 2 In 2.90-2.91
Ti  0.7880  0.7900  0.5801  1 Nb 2.55, 2 Ti 2.68
Ti  0.6211  0.3391  0.2165  3 Ti 2.61-2.68, 2 In 2.90-2.91
Ti  0.3789  0.1226  0.7835  3 Ti 2.61-2.68, 2 In 2.90-2.91
Ti  0.2120  0.2100  0.4199  1 Nb 2.55, 2 Ti 2.68
Ti  0.3789  0.6609  0.7835  3 Ti 2.61-2.68, 2 In 2.90-2.91
Nb  0.0000  0.0000  0.0000  2 Ti 2.55
In  0.1563  0.6450  0.2899  8 Ti 2.90-3.02
In  0.8437  0.3550  0.7101  8 Ti 2.90-3.02



| no. | total magnetic moment (μB/cell) |
| --- | --- |
| 1 | 0.000 |
| 2 | 0.001 |
| 3 | 0.007 |
| 4 | 0.000 |
| 5 | 0.000 |
| 6 | 0.001 |